[1]
# GaNiAg

An optimized crystal structure of GaNiAg (PBE, Alexandria).

abc: 4.194 4.194 6.782
angles: 71.99 71.99 60.00
Fractional positions:
Ga: 0.405 0.405 0.784
Ga: 0.595 0.595 0.216
Ni: 0.281 0.281 0.156
Ni: 0.719 0.719 0.844
Ag: 0.872 0.872 0.385
Ag: 0.128 0.128 0.615

Calculated formation energy (eV/atom): 0.010
Magnetic moment (μB/atom): 0.00
Final energy (eV/atom): -3.88

***

[2]
# GaNi2Ag

An optimized crystal structure of GaNi2Ag (PBE, Alexandria).

abc: 2.837 2.837 6.638
angles: 90.00 90.00 90.00
Fractional positions:
Ga: 0.500 0.500 0.000
Ag: 0.500 0.500 0.500
Ni: 0.000 0.000 0.217
Ni: 0.000 0.000 0.783

Calculated formation energy (eV/atom): -0.125
Magnetic moment (μB/atom): 0.00
Final energy (eV/atom): -4.48

***

[3]
# Ga2NiAgOs

An optimized crystal structure of Ga2NiAgOs (PBE, Alexandria).

abc: 4.757 4.641 4.757
angles: 90.00 90.00 90.00
Fractional positions:
Ga: 0.000 0.000 0.500
Ga: 0.500 0.000 0.000
Ag: 0.500 0.500 0.500
Os: 0.000 0.000 0.000
Ni: 0.000 0.500 0.000

Calculated formation energy (eV/atom): 0.639
Magnetic moment (μB/atom): 0.00
Final energy (eV/atom): -4.54